# 1
Li2CoOF3 | PBE+U | relaxed

Computed properties:
Calculated volume: 10.6 A^3/atom
Crystal system: monoclinic
Space-group type: Cc, No. 9
Relative energy among the computed polymorphs: 25 meV per atom

a = 5.3243 Å, b = 5.3243 Å, c = 5.9884 Å
α = 88.00°, β = 92.00°, γ = 118.88°
Last column: magnetic moment on the atom in μB.
Fractional positions:
F 0.5065 0.6820 0.9327  0.07
F 0.9195 0.5952 0.1013  0.08
F 0.3467 0.1128 0.1133  0.07
F 0.8872 0.6533 0.6133  0.07
F 0.4048 0.0805 0.6013  0.08
F 0.3180 0.4935 0.4327  0.07
O 0.8035 0.0268 0.2898  0.51
O 0.9732 0.1965 0.7898  0.51
Li 0.6291 0.3574 0.8556  0.00
Li 0.6426 0.3709 0.3556  0.00
Li 0.2518 0.6522 0.6915  0.00
Li 0.3478 0.7482 0.1915  0.00
Co 0.9234 0.9542 0.0158  3.10
Co 0.0458 0.0766 0.5158  3.10


# 2
Li4Co7O3F13 | PBE+U | relaxed

Computed properties:
Calculated volume: 11.8 A^3/atom
Crystal system: triclinic
Density of states at the Fermi level: 0.59 states/eV per cell
Space-group type: P1, No. 1
Relative energy among the computed polymorphs: 10 meV per atom

a = 6.0961 Å, b = 5.9920 Å, c = 13.4647 Å
α = 114.97°, β = 105.07°, γ = 118.71°
Last column: magnetic moment on the atom in μB.
Fractional positions:
F 0.4980 0.3698 0.6311  0.07
F 0.5057 0.9094 0.6335  0.07
F 0.9972 0.8745 0.6265  0.08
F 0.9720 0.6043 0.8735  0.08
F 0.5053 0.6368 0.3728  0.07
F 0.5218 0.1167 0.3717  0.07
F 0.0498 0.6315 0.3803  0.06
F 0.5320 0.8766 0.1227  0.05
F 0.9615 0.0755 0.8529  0.07
F 0.9992 0.8958 0.1260  0.08
F 0.4911 0.3977 0.1152  0.04
F 0.9791 0.1269 0.3670  0.06
F 0.0447 0.3863 0.1339  0.07
Li 0.2604 0.9589 0.0658  0.00
Li 0.7730 0.5618 0.4341  0.00
Li 0.2188 0.4348 0.5647  0.00
Li 0.7339 0.0430 0.9384  0.00
Co 0.0031 0.2571 0.7502  2.70
Co 0.5099 0.0258 0.5007  2.75
Co 0.5332 0.4978 0.9958  2.24
Co 0.0212 0.2594 0.2519  2.78
Co 0.4881 0.2503 0.7589  2.72
Co 0.0083 0.7405 0.7526  2.70
Co 0.5103 0.7590 0.2480  2.78
O 0.4578 0.5698 0.8751  0.02
O 0.4613 0.1241 0.8743  0.02
O 0.9634 0.3657 0.6323  0.13


# 3
Li5CoO3F | PBE+U | relaxed

Computed properties:
Calculated volume: 9.9 A^3/atom
Crystal system: monoclinic
Space-group type: C2/m, No. 12
Calculated total energy: -4.96 eV/atom

a = 6.5905 Å, b = 6.5905 Å, c = 4.7298 Å
α = 79.78°, β = 79.78°, γ = 89.11°
Last column: magnetic moment on the atom in μB.
Fractional positions:
O 0.6396 0.3604 0.0000  -0.01
O 0.3604 0.6396 0.0000  -0.01
O 0.8929 0.6022 0.2475  -0.01
O 0.6022 0.8929 0.2475  -0.01
O 0.1071 0.3978 0.7525  -0.01
O 0.3978 0.1071 0.7525  -0.01
Co 0.3724 0.3724 0.8728  1.05
Co 0.6276 0.6276 0.1272  1.05
Li 0.8608 0.8608 0.3788  0.00
Li 0.5715 0.1667 0.3727  0.00
Li 0.6564 0.0875 0.8835  0.00
Li 0.1667 0.5715 0.3727  0.00
Li 0.4285 0.8333 0.6273  0.00
Li 0.0875 0.6564 0.8835  0.00
Li 0.8333 0.4285 0.6273  0.00
Li 0.1392 0.1392 0.6212  0.00
Li 0.9125 0.3436 0.1165  0.00
Li 0.3436 0.9125 0.1165  0.00
F 0.8533 0.1467 0.5000  0.00
F 0.1467 0.8533 0.5000  0.00


# 4
Li3Co3OF7 | PBE+U | relaxed

Computed properties:
Calculated volume: 11.2 A^3/atom
Crystal system: monoclinic
Density of states at the Fermi level: 0.00 states/eV per cell
Space-group type: Cm, No. 8
Relative energy among the computed polymorphs: 1 meV per atom

a = 6.0303 Å, b = 6.0303 Å, c = 6.0267 Å
α = 60.64°, β = 60.64°, γ = 60.83°
Last column: magnetic moment on the atom in μB.
Fractional positions:
F 0.1344 0.1344 0.1184  0.05
F 0.1339 0.6023 0.1316  0.03
F 0.1456 0.6181 0.6229  0.06
F 0.1272 0.1272 0.5916  0.04
F 0.6023 0.1339 0.1316  0.03
F 0.6159 0.6159 0.6323  0.07
F 0.6181 0.1456 0.6229  0.06
Li 0.9947 0.9947 0.9989  0.00
Li 0.3741 0.3741 0.8820  0.00
Li 0.3853 0.3853 0.3503  0.00
Co 0.7450 0.7450 0.7849  2.73
Co 0.3835 0.8729 0.3597  2.73
Co 0.8729 0.3835 0.3597  2.73
O 0.6177 0.6177 0.1633  0.16


Repeat the third record exactly.
Li5CoO3F | PBE+U | relaxed

Computed properties:
Calculated volume: 9.9 A^3/atom
Crystal system: monoclinic
Space-group type: C2/m, No. 12
Calculated total energy: -4.96 eV/atom

a = 6.5905 Å, b = 6.5905 Å, c = 4.7298 Å
α = 79.78°, β = 79.78°, γ = 89.11°
Last column: magnetic moment on the atom in μB.
Fractional positions:
O 0.6396 0.3604 0.0000  -0.01
O 0.3604 0.6396 0.0000  -0.01
O 0.8929 0.6022 0.2475  -0.01
O 0.6022 0.8929 0.2475  -0.01
O 0.1071 0.3978 0.7525  -0.01
O 0.3978 0.1071 0.7525  -0.01
Co 0.3724 0.3724 0.8728  1.05
Co 0.6276 0.6276 0.1272  1.05
Li 0.8608 0.8608 0.3788  0.00
Li 0.5715 0.1667 0.3727  0.00
Li 0.6564 0.0875 0.8835  0.00
Li 0.1667 0.5715 0.3727  0.00
Li 0.4285 0.8333 0.6273  0.00
Li 0.0875 0.6564 0.8835  0.00
Li 0.8333 0.4285 0.6273  0.00
Li 0.1392 0.1392 0.6212  0.00
Li 0.9125 0.3436 0.1165  0.00
Li 0.3436 0.9125 0.1165  0.00
F 0.8533 0.1467 0.5000  0.00
F 0.1467 0.8533 0.5000  0.00


- What is the formula in the fourth record?
  Li3Co3OF7